1.
An optimized crystal structure of Y2Ho, computed with PBE.

Properties
The space group is No. 12. The value obtained for the final energy is -5.83 eV per atom. As for the total magnetic moment: 0.000 μB/f.u.

Cell: 3.590 3.587 9.521 Å, 90.01 67.74 60.06°
Fractional positions:
Y: 0.732 0.471 0.114
Y: 0.513 0.582 0.780
Ho: 0.623 0.026 0.447

2.
An optimized crystal structure of La2Pr4Sm2Er, computed with PBE.

Properties
The space group is No. 12. The value obtained for the final energy is -4.76 eV per atom. As for the total magnetic moment: 0.000 μB/f.u.

Cell: 3.716 9.797 9.869 Å, 115.02 90.00 100.93°
Fractional positions:
La: 0.665 0.330 0.999
La: 0.335 0.670 0.001
Pr: 0.185 0.370 0.333
Pr: 0.482 0.964 0.669
Pr: 0.518 0.036 0.331
Pr: 0.815 0.630 0.667
Sm: 0.148 0.296 0.668
Sm: 0.852 0.704 0.332
Er: 0.000 0.000 0.000

3.
An optimized crystal structure of VAuSeN2, computed with PBE.

Properties
The space group is No. 123. Its raw formation energy is 1.8300 eV/atom. As for the total magnetic moment: 0.898 μB/f.u.

Cell: 3.785 3.785 7.358 Å, 90.00 90.00 90.00°
Last column: magnetic moment on the atom in μB.
Fractional positions:
Se: 0.000 0.000 0.500  0.06
N: 0.000 0.500 0.000  0.24
N: 0.500 0.000 0.000  0.24
V: 0.500 0.500 0.500  0.08
Au: 0.000 0.000 0.000  0.06